Record 1
First-principles (GGA-PBE) data for crystalline RbRhBr4 at its relaxed geometry, as listed in the Alexandria database.

Cell: 6.4630 6.8114 9.2691 Å, 107.93 110.44 89.99°
Element x y z (fractional)
Br 0.4388 0.8973 0.2010
Br 0.7618 0.3972 0.2010
Br 0.2831 0.6475 0.4157
Br 0.8676 0.8525 0.5842
Br 0.2382 0.6028 0.7990
Br 0.7169 0.3525 0.5843
Br 0.1324 0.1475 0.4158
Br 0.5612 0.1027 0.7990
Rh 0.5000 0.0000 0.5000
Rh 0.0000 0.5000 0.5000
Rb 0.1932 0.2499 0.9997
Rb 0.8068 0.7501 0.0003

Results
uncorrected formation energy = -773 meV/atom

Record 2
First-principles (GGA-PBE) data for crystalline Rb2RhBr6 at its relaxed geometry, as listed in the Alexandria database.

Cell: 7.2281 7.2281 14.3261 Å, 90.00 90.00 90.00°
Each line ends with the local moment (μB).
Element x y z (fractional)
Rb 0.5000 0.5000 0.1680  0.00
Rb 0.5000 0.5000 0.8320  0.00
Rb 0.0000 0.0000 0.6680  0.00
Rb 0.0000 0.0000 0.3320  0.00
Br 0.2439 0.2439 0.0000  0.11
Br 0.8281 0.1719 0.8749  0.06
Br 0.7561 0.7561 0.0000  0.11
Br 0.8281 0.1719 0.1251  0.06
Br 0.3281 0.3281 0.3749  0.06
Br 0.3281 0.3281 0.6251  0.06
Br 0.6719 0.6719 0.3749  0.06
Br 0.2561 0.7439 0.5000  0.11
Br 0.1719 0.8281 0.1251  0.06
Br 0.1719 0.8281 0.8749  0.06
Br 0.7439 0.2561 0.5000  0.11
Br 0.6719 0.6719 0.6251  0.06
Rh 0.0000 0.0000 0.0000  0.55
Rh 0.5000 0.5000 0.5000  0.55

Results
N(E_F) = 1.48 states/eV/atom
uncorrected formation energy = -867 meV/atom

Record 3
First-principles (GGA-PBE) data for crystalline RbRh2Br at its relaxed geometry, as listed in the Alexandria database.

Cell: 4.9048 4.9048 4.9048 Å, 60.00 60.00 60.00°
Each line ends with the local moment (μB).
Element x y z (fractional)
Rh 0.2500 0.2500 0.2500  0.94
Rh 0.7500 0.7500 0.7500  0.94
Rb 0.5000 0.5000 0.5000  0.00
Br 0.0000 0.0000 0.0000  0.17

Results
excess energy over the best structure of this formula in the dataset = 701 meV/atom
N(E_F) = 0.51 states/eV/atom
uncorrected formation energy = 987 meV/atom

Q: Among the records above, which one has the highest uncorrected formation energy?
A: RbRh2Br

Q: Which value of uncorrected formation energy does entry 3 give?
A: 987 meV/atom

Q: Which formula does entry 2 have?
A: Rb2RhBr6